# 1
## Pm4Tl3 (GGA-PBE)

Data for an optimized crystal structure of Pm4Tl3.

Structure (POSCAR):
```
Pm4Tl3
1.0
-0.556 3.620 -5.700
2.393 -8.000 -2.630
-7.964 0.260 3.627
Tl Pm
6 8
Cartesian
-2.809 -0.193 -2.253 Tl
-0.528 0.016 -5.587 Tl
-3.319 -3.928 -2.450 Tl
-5.626 0.091 0.887 Tl
-5.599 -4.137 0.884 Tl
-0.502 -4.212 -5.590 Tl
-0.541 -5.920 -2.473 Pm
-5.587 1.799 -2.230 Pm
-5.855 -1.910 -1.875 Pm
0.000 0.000 0.000 Pm
-0.278 1.810 -2.850 Pm
-2.905 -2.087 0.409 Pm
-0.272 -2.211 -2.828 Pm
-3.223 -2.034 -5.112 Pm
```

Values from the calculation:
Its crystal system is trigonal. The total DFT energy (no corrections) comes out at -4.0416 eV per atom.

# 2
## PmTl4 (GGA-PBE)

Data for an optimized crystal structure of PmTl4.

Structure (POSCAR):
```
PmTl4
1.0
6.039 0.000 0.000
0.000 6.039 0.000
0.000 0.000 6.039
Tl Pm
4 1
Cartesian
3.020 0.000 3.020 Tl
0.000 0.000 0.000 Tl
3.020 3.020 0.000 Tl
0.000 3.020 3.020 Tl
3.020 3.020 3.020 Pm
```

Values from the calculation:
Its crystal system is cubic. The value obtained for the distance to the lowest polymorph of the same formula is 562 meV per atom. The total DFT energy (no corrections) comes out at -2.4465 eV per atom.

# 3
## Pm4Tl (GGA-PBE)

Data for an optimized crystal structure of Pm4Tl.

Structure (POSCAR):
```
Pm4Tl
1.0
-2.422 -2.487 4.380
-2.077 -0.732 -5.131
11.461 -6.935 2.399
Pm Tl
8 2
Cartesian
-1.046 -3.552 2.755 Pm
-1.875 -1.689 -0.213 Pm
0.406 -4.775 -0.702 Pm
4.686 -7.018 3.952 Pm
6.139 -8.241 0.494 Pm
3.659 -4.149 -2.116 Pm
9.389 -7.617 -0.918 Pm
3.856 -5.156 0.986 Pm
7.662 -6.020 2.598 Tl
1.930 -2.555 1.402 Tl
```

Values from the calculation:
Its crystal system is monoclinic. The value obtained for the distance to the lowest polymorph of the same formula is 0 meV per atom. The total DFT energy (no corrections) comes out at -4.3852 eV per atom.

# 4
## Pm6Tm2Tl (GGA-PBE)

Data for an optimized crystal structure of Pm6Tm2Tl.

Structure (POSCAR):
```
Pm6Tm2Tl
1.0
0.065 2.941 1.820
-1.117 -5.096 8.260
7.847 -3.193 4.865
Pm Tm Tl
6 2 1
Cartesian
-0.332 -0.201 3.607 Pm
2.597 0.421 2.498 Pm
7.128 -5.147 11.337 Pm
4.947 -2.345 6.886 Pm
4.197 -5.769 12.447 Pm
1.848 -3.002 8.060 Pm
4.487 -5.526 8.750 Tm
2.308 0.178 6.194 Tm
0.065 2.940 1.820 Tl
```

Values from the calculation:
Its crystal system is monoclinic. The value obtained for the distance to the lowest polymorph of the same formula is 12 meV per atom. The total DFT energy (no corrections) comes out at -4.4045 eV per atom.

# 5
## PmTm6Tl (GGA-PBE)

Data for an optimized crystal structure of PmTm6Tl.

Structure (POSCAR):
```
PmTm6Tl
1.0
-2.102 -4.205 1.269
1.319 0.737 4.629
-8.537 4.772 1.673
Tm Tl Pm
6 1 1
Cartesian
-5.694 3.920 3.559 Tm
-4.660 0.652 3.785 Tm
-7.405 1.449 1.879 Tm
-3.234 -0.882 1.062 Tm
-0.391 -1.734 2.949 Tm
-1.523 1.589 2.742 Tm
-4.268 2.386 0.836 Tl
0.000 0.000 0.000 Pm
```

Values from the calculation:
Its crystal system is tetragonal. The value obtained for the distance to the lowest polymorph of the same formula is 0 meV per atom. The total DFT energy (no corrections) comes out at -4.3030 eV per atom.

# 6
## Pm3Tm2Tl7 (GGA-PBE)

Data for an optimized crystal structure of Pm3Tm2Tl7.

Structure (POSCAR):
```
Pm3Tm2Tl7
1.0
-0.403 -0.484 -5.057
3.820 -3.283 0.010
-11.181 -9.141 1.764
Tl Pm Tm
7 3 2
Cartesian
-1.719 -2.006 -2.239 Tl
-2.246 -6.475 0.798 Tl
0.428 -3.365 0.288 Tl
0.000 0.000 0.000 Tl
-5.115 -5.949 0.976 Tl
-7.789 -9.059 1.486 Tl
-6.045 -10.901 -1.044 Tl
-6.618 -7.705 -1.304 Pm
-1.145 -5.202 -1.979 Pm
1.709 -1.883 -2.524 Pm
-4.462 -9.052 1.221 Tm
-2.899 -3.372 0.553 Tm
```

Values from the calculation:
Its crystal system is orthorhombic. The total DFT energy (no corrections) comes out at -3.4216 eV per atom.

# 7
## Pm3Tm4Tl2 (GGA-PBE)

Data for an optimized crystal structure of Pm3Tm4Tl2.

Structure (POSCAR):
```
Pm3Tm4Tl2
1.0
-1.436 4.703 -0.579
-7.259 -2.222 -0.052
2.770 -0.843 7.460
Tm Tl Pm
4 2 3
Cartesian
-4.525 1.678 3.680 Tm
-2.907 1.788 0.558 Tm
-1.400 -0.040 3.149 Tm
-3.018 -0.150 6.271 Tm
-5.848 -1.186 4.866 Tl
-0.077 2.824 1.963 Tl
-1.503 2.790 5.223 Pm
0.000 0.000 0.000 Pm
-4.422 -1.152 1.607 Pm
```

Values from the calculation:
Its crystal system is monoclinic. The total DFT energy (no corrections) comes out at -4.2046 eV per atom.

# 8
## Pm4Tm3Tl (GGA-PBE)

Data for an optimized crystal structure of Pm4Tm3Tl.

Structure (POSCAR):
```
Pm4Tm3Tl
1.0
3.583 0.000 0.000
0.000 5.408 0.000
0.000 0.000 13.150
Pm Tm Tl
4 3 1
Cartesian
0.000 0.000 2.146 Pm
1.791 2.704 4.340 Pm
1.791 0.000 8.829 Pm
0.000 2.704 10.975 Pm
0.000 0.000 5.672 Tm
1.791 0.000 12.328 Tm
0.000 2.704 7.445 Tm
1.791 2.704 0.863 Tl
```

Values from the calculation:
Its crystal system is orthorhombic. The total DFT energy (no corrections) comes out at -4.3934 eV per atom.

# 9
## PmTm5Tl4 (GGA-PBE)

Data for an optimized crystal structure of PmTm5Tl4.

Structure (POSCAR):
```
PmTm5Tl4
1.0
-2.344 2.676 0.439
-2.450 -1.841 -1.860
-7.015 -9.148 18.296
Tm Pm Tl
5 1 4
Cartesian
-3.215 -0.649 1.423 Tm
-5.904 -4.156 8.438 Tm
-8.594 -7.663 15.452 Tm
-4.555 -2.397 4.920 Tm
-7.253 -5.915 11.956 Tm
0.000 0.000 0.000 Pm
-1.490 -1.943 3.886 Tl
-5.525 -7.205 14.410 Tl
-2.835 -3.697 7.394 Tl
-4.180 -5.451 10.902 Tl
```

Values from the calculation:
Its crystal system is tetragonal. The total DFT energy (no corrections) comes out at -3.9012 eV per atom.

# 10
## PmTm5Tl3 (GGA-PBE)

Data for an optimized crystal structure of PmTm5Tl3.

Structure (POSCAR):
```
PmTm5Tl3
1.0
-0.285 -5.242 4.128
7.677 -3.502 -3.916
0.697 5.716 7.305
Tl Tm Pm
6 10 2
Cartesian
7.924 -3.657 4.006 Tl
2.628 -3.180 4.246 Tl
2.534 -2.499 -0.297 Tl
0.166 0.629 3.511 Tl
4.858 -6.244 0.509 Tl
5.462 0.152 3.271 Tl
2.700 -0.578 2.153 Tm
5.208 -3.050 1.889 Tm
3.024 2.643 3.565 Tm
5.065 -3.653 -1.588 Tm
2.327 -5.090 1.800 Tm
0.396 2.514 5.920 Tm
7.694 -5.541 1.597 Tm
5.351 -0.429 -0.176 Tm
5.389 -2.450 5.364 Tm
2.881 0.022 5.629 Tm
-0.142 -2.621 2.064 Pm
0.000 0.000 0.000 Pm
```

Values from the calculation:
Its crystal system is hexagonal. The total DFT energy (no corrections) comes out at -4.0466 eV per atom.

# 11
## PmTm5Tl6 (GGA-PBE)

Data for an optimized crystal structure of PmTm5Tl6.

Structure (POSCAR):
```
PmTm5Tl6
1.0
-0.537 5.318 -0.177
0.948 -2.895 -8.753
-6.924 -3.225 5.249
Tm Tl Pm
5 6 1
Cartesian
-4.306 -3.115 0.591 Tm
-5.902 -0.512 2.865 Tm
-1.671 -3.005 -4.095 Tm
-0.612 -0.290 -6.546 Tm
-3.257 -0.401 -1.841 Tm
-3.521 -0.544 -5.118 Tl
-2.993 -0.259 1.437 Tl
-1.953 2.449 -1.040 Tl
-6.190 -0.656 -0.370 Tl
-0.324 -0.147 -3.311 Tl
-4.561 -3.251 -2.641 Tl
0.000 0.000 0.000 Pm
```

Values from the calculation:
Its crystal system is monoclinic. The value obtained for the distance to the lowest polymorph of the same formula is 0 meV per atom. The total DFT energy (no corrections) comes out at -3.7473 eV per atom.

Number 1: magnetic moment 0.002 μB/atom, formation energy from the elements -0.31 eV per atom, Fermi-level density of states 18.7 states/eV/cell. Number 2: magnetic moment 0.000 μB/atom, formation energy from the elements 0.40 eV per atom, Fermi-level density of states 4.7 states/eV/cell. Number 3: magnetic moment 0.000 μB/atom, formation energy from the elements -0.11 eV per atom, Fermi-level density of states 10.6 states/eV/cell. Number 4: magnetic moment 0.000 μB/atom, formation energy from the elements 0.02 eV per atom, Fermi-level density of states 17.3 states/eV/cell. Number 5: magnetic moment 0.000 μB/atom, formation energy from the elements -0.06 eV per atom, Fermi-level density of states 8.8 states/eV/cell. Number 6: magnetic moment 0.072 μB/atom, formation energy from the elements -0.11 eV per atom, Fermi-level density of states 11.6 states/eV/cell. Number 7: magnetic moment 0.000 μB/atom, formation energy from the elements -0.11 eV per atom, Fermi-level density of states 10.8 states/eV/cell. Number 8: magnetic moment 0.000 μB/atom, formation energy from the elements -0.05 eV per atom, Fermi-level density of states 10.5 states/eV/cell. Number 9: magnetic moment 0.013 μB/atom, formation energy from the elements -0.24 eV per atom, Fermi-level density of states 8.4 states/eV/cell. Number 10: magnetic moment 0.001 μB/atom, formation energy from the elements -0.25 eV per atom, Fermi-level density of states 19.3 states/eV/cell. Number 11: magnetic moment 0.000 μB/atom, formation energy from the elements -0.31 eV per atom, Fermi-level density of states 9.6 states/eV/cell.